! AcTb2UN4 (PBE, optimized geometry); values from VASP
&SYSTEM
  ibrav = 0, nat = 16, ntyp = 4
/
ATOMIC_SPECIES
Ac 227.00 Ac.upf
Tb 158.93 Tb.upf
U 238.03 U.upf
N 14.01 N.upf
ATOMIC_POSITIONS crystal
Ac 0.165 0.330 0.750
Ac 0.835 0.670 0.250
Tb 0.370 0.740 0.517
Tb 0.630 0.260 0.017
Tb 0.630 0.260 0.483
Tb 0.370 0.740 0.983
U 0.899 0.797 0.750
U 0.101 0.203 0.250
N 0.233 0.467 0.118
N 0.767 0.533 0.618
N 0.767 0.533 0.882
N 0.233 0.467 0.382
N 0.000 0.000 0.500
N 0.000 0.000 0.000
N 0.499 0.999 0.750
N 0.501 0.001 0.250
CELL_PARAMETERS angstrom
-1.287 -2.620 -2.079
4.301 3.218 -3.630
9.017 -7.577 3.966
! E_form (uncorrected) (kJ/mol of formula units): -868
! DOS(E_F) (states/eV per cell): 10.160
! Total energy (eV per atom): -8.370
! Crystal system: orthorhombic

! UZnPt3 (PBE, optimized geometry); values from VASP
&SYSTEM
  ibrav = 0, nat = 20, ntyp = 3
/
ATOMIC_SPECIES
U 238.03 U.upf
Zn 65.41 Zn.upf
Pt 195.08 Pt.upf
ATOMIC_POSITIONS crystal
U 0.859 0.905 0.750
U 0.359 0.595 0.250
U 0.641 0.405 0.750
U 0.141 0.095 0.250
Zn 0.500 0.000 0.000
Zn 0.500 0.000 0.500
Zn 0.000 0.500 0.000
Zn 0.000 0.500 0.500
Pt 0.783 0.950 0.250
Pt 0.717 0.450 0.250
Pt 0.283 0.550 0.750
Pt 0.217 0.050 0.750
Pt 0.624 0.715 0.504
Pt 0.624 0.715 0.996
Pt 0.876 0.215 0.504
Pt 0.876 0.215 0.996
Pt 0.124 0.785 0.496
Pt 0.124 0.785 0.004
Pt 0.376 0.285 0.004
Pt 0.376 0.285 0.496
CELL_PARAMETERS angstrom
-4.086 -1.718 6.911
-0.640 -8.066 -2.383
4.803 -1.137 2.557
! DOS(E_F) (states/eV per cell): 29.669
! Total energy (eV per atom): -6.581
! Crystal system: orthorhombic

! MgVGe (PBE, optimized geometry); values from VASP
&SYSTEM
  ibrav = 0, nat = 6, ntyp = 3
/
ATOMIC_SPECIES
Mg 24.30 Mg.upf
Ge 72.64 Ge.upf
V 50.94 V.upf
ATOMIC_POSITIONS crystal
Mg 0.822 0.327 0.138
Mg 0.182 0.826 0.922
Ge 0.003 0.327 0.713
Ge 0.010 0.827 0.347
V 0.594 0.327 0.452
V 0.418 0.827 0.608
CELL_PARAMETERS angstrom
-2.723 -0.277 0.918
-0.303 -3.415 -1.930
4.689 -4.376 7.004
! DOS(E_F) (states/eV per cell): 4.588
! Total energy (eV per atom): -5.162
! Crystal system: monoclinic

! Ti4NiMo (PBE, optimized geometry); values from VASP
&SYSTEM
  ibrav = 0, nat = 6, ntyp = 3
/
ATOMIC_SPECIES
Ti 47.87 Ti.upf
Ni 58.69 Ni.upf
Mo 95.94 Mo.upf
ATOMIC_POSITIONS crystal
Ti 0.631 0.631 0.107
Ti 0.369 0.369 0.893
Ti 0.124 0.125 0.628
Ti 0.876 0.875 0.372
Ni 0.000 0.000 0.000
Mo 0.500 0.500 0.500
CELL_PARAMETERS angstrom
4.409 0.000 0.000
2.205 3.793 0.211
2.205 0.872 6.453
! ΔE to the lowest computed polymorph (meV/atom): 406
! DOS(E_F) (states/eV per cell): 7.575
! Total energy (eV per atom): -7.777
! Crystal system: monoclinic

! RbCr2S4 (PBE, optimized geometry); values from VASP
&SYSTEM
  ibrav = 0, nat = 14, ntyp = 3
/
ATOMIC_SPECIES
Rb 85.47 Rb.upf
Cr 52.00 Cr.upf
S 32.06 S.upf
ATOMIC_POSITIONS crystal
Rb 0.000 0.000 0.000
Rb 0.250 0.250 0.250
Cr 0.625 0.625 0.625
Cr 0.625 0.125 0.625
Cr 0.625 0.625 0.125
Cr 0.125 0.625 0.625
S 0.847 0.847 0.847
S 0.403 0.790 0.403
S 0.790 0.403 0.403
S 0.403 0.403 0.790
S 0.460 0.847 0.847
S 0.847 0.847 0.460
S 0.403 0.403 0.403
S 0.847 0.460 0.847
CELL_PARAMETERS angstrom
6.346 0.788 4.348
2.321 7.037 2.214
-0.628 2.125 7.409
! ΔE to the lowest computed polymorph (meV/atom): 305
! E_form (uncorrected) (kJ/mol of formula units): -360
! DOS(E_F) (states/eV per cell): 9.873
! Total energy (eV per atom): -5.779
! Crystal system: cubic

! UFe2 (PBE, optimized geometry); values from VASP
&SYSTEM
  ibrav = 0, nat = 3, ntyp = 2
/
ATOMIC_SPECIES
U 238.03 U.upf
Fe 55.84 Fe.upf
ATOMIC_POSITIONS crystal
U 0.000 0.000 0.000
Fe 0.686 0.686 0.373
Fe 0.314 0.314 0.627
CELL_PARAMETERS angstrom
2.858 0.000 0.000
0.000 2.858 0.000
-1.429 -1.429 5.411
! DOS(E_F) (states/eV per cell): 3.274
! Total energy (eV per atom): -9.307
! Crystal system: tetragonal